# HfFe2RhO, optimized geometry, DFT GGA+U
data_HfFe2RhO
_chemical_formula_sum 'Hf1 Fe2 Rh1 O1'
_space_group_name_H-M_alt 'P 1'
_space_group_IT_number 1
_cell_length_a 5.081
_cell_length_b 5.081
_cell_length_c 3.816
_cell_angle_alpha 90.00
_cell_angle_beta 90.00
_cell_angle_gamma 90.00
loop_
_space_group_symop_operation_xyz
'x,y,z'
loop_
_atom_site_label
_atom_site_type_symbol
_atom_site_fract_x
_atom_site_fract_y
_atom_site_fract_z
Hf1 Hf 0.000 0.000 0.000
Fe1 Fe 0.000 0.500 0.000
Fe2 Fe 0.500 0.000 0.000
Rh1 Rh 0.500 0.500 0.500
O1 O 0.000 0.000 0.500
# Fermi-level density of states (states/eV per cell): 2.142
# Calculated density (g/cm³): 6.90
# Total DFT energy (no corrections) (eV per atom): -6.13
# Total magnetization (μB per formula unit): 6.1